DFT (GGA-PBE) results for an optimized crystal structure of LiTm5Pb6.

```
data_LiTm5Pb6
_chemical_formula_sum 'Li1 Tm5 Pb6'
_cell_length_a 4.876
_cell_length_b 8.843
_cell_length_c 7.848
_cell_angle_alpha 90.00
_cell_angle_beta 107.94
_cell_angle_gamma 90.00
_space_group_name_H-M_alt 'P 1'
_space_group_IT_number 1
_space_group_name_Hall 'P 1'
loop_
_atom_site_label
_atom_site_type_symbol
_atom_site_fract_x
_atom_site_fract_y
_atom_site_fract_z
Li1 Li 0.000 0.000 0.000
Tm1 Tm 0.000 0.500 0.000
Tm2 Tm 0.336 0.500 0.672
Tm3 Tm 0.341 0.000 0.682
Tm4 Tm 0.659 0.000 0.318
Tm5 Tm 0.664 0.500 0.328
Pb1 Pb 0.167 0.246 0.333
Pb2 Pb 0.167 0.754 0.333
Pb3 Pb 0.500 0.244 0.000
Pb4 Pb 0.500 0.756 0.000
Pb5 Pb 0.833 0.246 0.667
Pb6 Pb 0.833 0.754 0.667
```

* density of states at the Fermi level: 0.61 states/eV/atom
* formation energy: -0.367 eV/atom
* distance to the lowest polymorph of the same formula: 0 meV per atom
* total moment: 0.0 μB per formula unit
* VASP energy: -4.2434 eV/atom